Entry 1:
A plane-wave DFT calculation with GGA-PBE was carried out for a relaxed K4TiIn3O8 crystal.

Results
* volume: 711.9 Å³/cell
* formation energy (no corrections): -1.73 eV per atom

Cell and atoms, written as CIF:
```
data_K4TiIn3O8
_chemical_formula_sum 'K12 Ti3 In9 O24'
_space_group_name_H-M_alt 'R -3 m'
_space_group_IT_number 166
_space_group_name_Hall '-R 3 2"'
_cell_length_a 6.6722
_cell_length_b 6.6722
_cell_length_c 18.4637
_cell_angle_alpha 90.00
_cell_angle_beta 90.00
_cell_angle_gamma 120.00
loop_
_atom_site_label
_atom_site_fract_x
_atom_site_fract_y
_atom_site_fract_z
_atom_site_occupancy
K1 0.0000 0.0000 0.0000 1
K2 0.0000 0.5000 0.0000 1
Ti1 0.0000 0.0000 0.5000 1
In1 0.0000 0.5000 0.5000 1
O1 0.0000 0.0000 0.2281 1
O2 0.0256 0.5128 0.2269 1
```



Entry 2:
A plane-wave DFT calculation with GGA-PBE was carried out for a relaxed KTiInO4 crystal.

Results
* volume: 243.6 Å³/cell
* formation energy (no corrections): -2.14 eV per atom

Cell and atoms, written as CIF:
```
data_KTiInO4
_chemical_formula_sum 'K2 Ti2 In2 O8'
_space_group_name_H-M_alt 'P 1 21/m 1'
_space_group_IT_number 11
_cell_length_a 5.643
_cell_length_b 5.874
_cell_length_c 7.733
_cell_angle_alpha 90.00
_cell_angle_beta 108.15
_cell_angle_gamma 90.00
loop_
_space_group_symop_operation_xyz
'x,y,z'
'-x,-y,-z'
'-x,y+1/2,-z'
'x,-y+1/2,z'
loop_
_atom_site_label
_atom_site_fract_x
_atom_site_fract_y
_atom_site_fract_z
_atom_site_occupancy
K1 0.050 0.250 0.133 1
Ti1 0.406 0.250 0.659 1
In1 0.155 0.750 0.464 1
O1 0.182 0.015 0.668 1
O2 0.259 0.750 0.211 1
O3 0.423 0.250 0.433 1
```



Entry 3:
A plane-wave DFT calculation with GGA-PBE was carried out for a relaxed K3Tl3InO8 crystal.

Results
* volume: 514.5 Å³/cell
* formation energy (no corrections): -1.04 eV per atom

Cell and atoms, written as CIF:
```
data_K3Tl3InO8
_chemical_formula_sum 'K6 Tl6 In2 O16'
_space_group_name_H-M_alt 'C 1 2/m 1'
_space_group_IT_number 12
_cell_length_a 11.871
_cell_length_b 6.845
_cell_length_c 7.466
_cell_angle_alpha 90.00
_cell_angle_beta 121.99
_cell_angle_gamma 90.00
loop_
_space_group_symop_operation_xyz
'x,y,z'
'-x,-y,-z'
'-x,y,-z'
'x,-y,z'
'x+1/2,y+1/2,z'
'-x+1/2,-y+1/2,-z'
'-x+1/2,y+1/2,-z'
'x+1/2,-y+1/2,z'
loop_
_atom_site_label
_atom_site_fract_x
_atom_site_fract_y
_atom_site_fract_z
_atom_site_occupancy
K1 0.000 0.000 0.000 1
K2 0.250 0.250 0.000 1
Tl1 0.000 0.500 0.500 1
Tl2 0.250 0.250 0.500 1
In1 0.000 0.000 0.500 1
O1 0.019 0.240 0.317 1
O2 0.221 0.000 0.683 1
O3 0.232 0.500 0.695 1
```



Entry 4:
A plane-wave DFT calculation with GGA-PBE was carried out for a relaxed KTlInO3 crystal.

Results
* volume: 238.0 Å³/cell
* formation energy (no corrections): -1.13 eV per atom

Cell and atoms, written as CIF:
```
data_KTlInO3
_chemical_formula_sum 'K2 Tl2 In2 O6'
_space_group_name_H-M_alt 'P 1 21/m 1'
_space_group_IT_number 11
_cell_length_a 7.090
_cell_length_b 3.312
_cell_length_c 10.197
_cell_angle_alpha 90.00
_cell_angle_beta 96.23
_cell_angle_gamma 90.00
loop_
_space_group_symop_operation_xyz
'x,y,z'
'-x,-y,-z'
'-x,y+1/2,-z'
'x,-y+1/2,z'
loop_
_atom_site_label
_atom_site_fract_x
_atom_site_fract_y
_atom_site_fract_z
_atom_site_occupancy
K1 0.158 0.250 0.215 1
Tl1 0.192 0.250 0.583 1
In1 0.370 0.750 0.889 1
O1 0.148 0.750 0.433 1
O2 0.184 0.250 0.823 1
O3 0.415 0.750 0.103 1
```



Entry 5:
A plane-wave DFT calculation with GGA-PBE was carried out for a relaxed K2TlInO4 crystal.

Results
* volume: 126.1 Å³/cell
* formation energy (no corrections): -1.30 eV per atom

Cell and atoms, written as CIF:
```
data_K2TlInO4
_chemical_formula_sum 'K2 Tl1 In1 O4'
_space_group_name_H-M_alt 'P 1 2/m 1'
_space_group_IT_number 10
_cell_length_a 5.949
_cell_length_b 3.430
_cell_length_c 6.487
_cell_angle_alpha 90.00
_cell_angle_beta 107.68
_cell_angle_gamma 90.00
loop_
_space_group_symop_operation_xyz
'x,y,z'
'-x,-y,-z'
'-x,y,-z'
'x,-y,z'
loop_
_atom_site_label
_atom_site_fract_x
_atom_site_fract_y
_atom_site_fract_z
_atom_site_occupancy
K1 0.000 0.000 0.000 1
K2 0.500 0.500 0.000 1
Tl1 0.000 0.500 0.500 1
In1 0.500 0.000 0.500 1
O1 0.242 0.000 0.693 1
O2 0.280 0.500 0.310 1
```



Entry 6:
A plane-wave DFT calculation with GGA-PBE was carried out for a relaxed K3TmIn2O6 crystal.

Results
* volume: 368.4 Å³/cell
* formation energy (no corrections): -1.97 eV per atom

Cell and atoms, written as CIF:
```
data_K3TmIn2O6
_chemical_formula_sum 'K6 Tm2 In4 O12'
_space_group_name_H-M_alt 'C 1 2/m 1'
_space_group_IT_number 12
_cell_length_a 5.845
_cell_length_b 10.125
_cell_length_c 6.523
_cell_angle_alpha 90.00
_cell_angle_beta 107.36
_cell_angle_gamma 90.00
loop_
_space_group_symop_operation_xyz
'x,y,z'
'-x,-y,-z'
'-x,y,-z'
'x,-y,z'
'x+1/2,y+1/2,z'
'-x+1/2,-y+1/2,-z'
'-x+1/2,y+1/2,-z'
'x+1/2,-y+1/2,z'
loop_
_atom_site_label
_atom_site_fract_x
_atom_site_fract_y
_atom_site_fract_z
_atom_site_occupancy
K1 0.000 0.000 0.000 1
K2 0.000 0.331 0.000 1
Tm1 0.000 0.500 0.500 1
In1 0.000 0.167 0.500 1
O1 0.227 0.000 0.687 1
O2 0.230 0.332 0.687 1
```



| no. | magnetization (μB per cell) |
| --- | --- |
| 1 | 1.317 |
| 2 | 0.000 |
| 3 | 2.437 |
| 4 | 0.000 |
| 5 | 0.000 |
| 6 | 0.000 |